No. 1
Entry from Alexandria: a relaxed structure of BaNa2P (PBE).

Summary:
The symmetry is No. 122. The crystal system is tetragonal. The calculated formation energy comes out at -0.23 eV/atom. As for the total magnetic moment: 0.0 Bohr magnetons per cell.

Unit cell a=4.7247 b=4.7247 c=11.8921 alpha=78.54 beta=78.54 gamma=90.00
Last column: nearest neighbours and their distance in Å.
Fractional coordinates of all 8 atoms:
Na 0.8750 0.8048 0.7500  2 Na 2.91, 2 P 3.20
Na 0.1952 0.6250 0.2500  2 Na 2.91, 2 P 3.20
Na 0.3750 0.4452 0.7500  2 Na 2.91, 2 P 3.20
Na 0.5548 0.1250 0.2500  2 Na 2.91, 2 P 3.20
P 0.2500 0.7500 0.5000  4 Na 3.20, 4 Ba 3.34
P 0.5000 0.5000 0.0000  4 Na 3.20, 4 Ba 3.34
Ba 0.0000 0.0000 0.0000  4 P 3.34, 4 Na 3.44
Ba 0.7500 0.2500 0.5000  4 P 3.34, 4 Na 3.44

No. 2
Entry from Alexandria: a relaxed structure of Hg2AsAu (PBE).

Summary:
The value obtained for the relative energy among the computed polymorphs is 0.202 eV/atom. The symmetry is No. 225. The crystal system is cubic. The calculated formation energy comes out at 0.33 eV/atom. As for the total magnetic moment: 0.0 Bohr magnetons per cell.

Unit cell a=4.9401 b=4.9401 c=4.9401 alpha=60.00 beta=60.00 gamma=60.00
Last column: nearest neighbours and their distance in Å.
Fractional coordinates of all 4 atoms:
Hg 0.2500 0.2500 0.2500  4 As 3.03, 4 Au 3.03
Hg 0.7500 0.7500 0.7500  4 As 3.03, 4 Au 3.03
As 0.0000 0.0000 0.0000  8 Hg 3.03
Au 0.5000 0.5000 0.5000  8 Hg 3.03

No. 3
Entry from Alexandria: a relaxed structure of Sc3BiPO (PBE).

Summary:
The formation energy without anion corrections is -1658 meV per atom. The symmetry is No. 11. The crystal system is monoclinic. As for the total magnetic moment: 0.0 Bohr magnetons per cell.

Unit cell a=3.7467 b=8.4554 c=8.4732 alpha=103.80 beta=90.00 gamma=90.00
Last column: nearest neighbours and their distance in Å.
Fractional coordinates of all 12 atoms:
Sc 0.7500 0.4369 0.1434  3 P 2.59-2.60
Sc 0.2500 0.8418 0.4784  3 O 2.07-2.10
Sc 0.2500 0.1357 0.8454  1 O 2.09
Sc 0.2500 0.5631 0.8566  3 P 2.59-2.60
Sc 0.7500 0.1582 0.5216  3 O 2.07-2.10
Sc 0.7500 0.8643 0.1546  1 O 2.09
O 0.2500 0.0876 0.5923  4 Sc 2.07-2.10
O 0.7500 0.9124 0.4077  4 Sc 2.07-2.10
P 0.2500 0.6533 0.1720  6 Sc 2.59-2.70
P 0.7500 0.3467 0.8280  6 Sc 2.59-2.70
Bi 0.7500 0.8193 0.7771  7 Sc 3.06-3.20, 1 O 3.40
Bi 0.2500 0.1807 0.2229  7 Sc 3.06-3.20, 1 O 3.40

No. 4
Entry from Alexandria: a relaxed structure of SmMgSiAu (PBE).

Summary:
The formation energy without anion corrections is -519 meV per atom. The symmetry is No. 216. The crystal system is cubic. As for the total magnetic moment: 0.0 Bohr magnetons per cell.

Unit cell a=4.9386 b=4.9386 c=4.9386 alpha=60.00 beta=60.00 gamma=60.00
Last column: nearest neighbours and their distance in Å.
Fractional coordinates of all 4 atoms:
Sm 0.0000 0.0000 0.0000  4 Au 3.02, 4 Si 3.02
Mg 0.5000 0.5000 0.5000  4 Si 3.02, 4 Au 3.02
Si 0.7500 0.7500 0.7500  4 Mg 3.02, 4 Sm 3.02
Au 0.2500 0.2500 0.2500  4 Mg 3.02, 4 Sm 3.02

No. 5
Entry from Alexandria: a relaxed structure of AlTl2Te2 (PBE).

Summary:
The formation energy without anion corrections is -40 meV per atom. The symmetry is No. 127. The crystal system is tetragonal. As for the total magnetic moment: 0.0 Bohr magnetons per cell.

Unit cell a=7.9533 b=7.9533 c=5.2141 alpha=90.00 beta=90.00 gamma=90.00
Last column: nearest neighbours and their distance in Å.
Fractional coordinates of all 10 atoms:
Tl 0.6435 0.8565 0.5000  1 Tl 3.23, 2 Te 3.27
Tl 0.3565 0.1435 0.5000  1 Tl 3.23, 2 Te 3.27
Tl 0.1435 0.6435 0.5000  1 Tl 3.23, 2 Te 3.27
Tl 0.8565 0.3565 0.5000  1 Tl 3.23, 2 Te 3.27
Te 0.3188 0.8188 0.0000  2 Al 2.92
Te 0.8188 0.6812 0.0000  2 Al 2.92
Te 0.1812 0.3188 0.0000  2 Al 2.92
Te 0.6812 0.1812 0.0000  2 Al 2.92
Al 0.0000 0.0000 0.0000  4 Te 2.92
Al 0.5000 0.5000 0.0000  4 Te 2.92

No. 6
Entry from Alexandria: a relaxed structure of La2Pr3Sm4 (PBE).

Summary:
The value obtained for the relative energy among the computed polymorphs is 0.000 eV/atom. The symmetry is No. 2. The crystal system is triclinic. The calculated formation energy comes out at 0.02 eV/atom. As for the total magnetic moment: 0.0 Bohr magnetons per cell.

Unit cell a=5.2233 b=6.3748 c=11.0722 alpha=73.45 beta=89.98 gamma=65.88
Last column: nearest neighbours and their distance in Å.
Fractional coordinates of all 9 atoms:
Pr 0.0000 0.0000 0.0000  4 La 3.68-3.69, 8 Sm 3.68-3.70
Pr 0.3330 0.3339 0.4426  6 Sm 3.67-3.70, 3 Pr 3.69-3.70, 3 La 3.69-3.73
Pr 0.6670 0.6661 0.5574  6 Sm 3.67-3.70, 3 Pr 3.69-3.70, 3 La 3.69-3.73
Sm 0.0007 0.9987 0.3343  6 Pr 3.67-3.70, 3 Sm 3.67-3.70, 3 La 3.69-3.70
Sm 0.3337 0.3326 0.1117  4 Pr 3.67-3.69, 4 La 3.68, 4 Sm 3.70-3.71
Sm 0.6663 0.6674 0.8883  4 Pr 3.67-3.69, 4 La 3.68, 4 Sm 3.70-3.71
Sm 0.9993 0.0013 0.6657  6 Pr 3.67-3.70, 3 Sm 3.67-3.70, 3 La 3.69-3.70
La 0.6663 0.6674 0.2206  7 Sm 3.68-3.70, 5 Pr 3.68-3.73
La 0.3337 0.3326 0.7794  7 Sm 3.68-3.70, 5 Pr 3.68-3.73